Entry from Alexandria via LeMat-Bulk: crystalline Ce6Ir2Pt at its relaxed geometry (PBE-GGA).

Cell lengths 6.5006, 7.3083, 11.6109 Å; angles 90.00, 121.66, 90.00 degrees
Atoms (fractional coordinates):
Ce  0.0761  0.1930  0.4261
Ce  0.0761  0.3070  0.9261
Ce  0.2716  0.6501  0.4415
Ce  0.2716  0.8499  0.9415
Ce  0.4079  0.0557  0.2355
Ce  0.4079  0.4443  0.7355
Ce  0.5921  0.5557  0.2645
Ce  0.5921  0.9443  0.7645
Ce  0.7284  0.1501  0.0585
Ce  0.7284  0.3499  0.5585
Ce  0.9239  0.6930  0.0739
Ce  0.9239  0.8070  0.5739
Ir  0.1675  0.1209  0.7220
Ir  0.1675  0.3791  0.2220
Ir  0.8325  0.6209  0.7780
Ir  0.8325  0.8791  0.2780
Pt  0.5000  0.0000  0.5000
Pt  0.5000  0.5000  0.0000

Values from the calculation:
formation energy = -4.7 eV per formula unit



Entry from Alexandria via LeMat-Bulk: crystalline Ce6Ir2Pt at its relaxed geometry (PBE-GGA).

Cell lengths 5.6460, 5.6460, 8.8510 Å; angles 99.15, 99.15, 49.58 degrees
Atoms (fractional coordinates):
Ce  0.0567  0.0567  0.3394
Ce  0.3146  0.3146  0.9263
Ce  0.3923  0.3923  0.3320
Ce  0.6077  0.6077  0.6680
Ce  0.6854  0.6854  0.0737
Ce  0.9433  0.9433  0.6606
Ir  0.2703  0.2703  0.6198
Ir  0.7297  0.7297  0.3802
Pt  0.0000  0.0000  0.0000

Values from the calculation:
formation energy = -5.6 eV per formula unit



Entry from Alexandria via LeMat-Bulk: crystalline CeIrPt at its relaxed geometry (PBE-GGA).

Cell lengths 5.4314, 5.4314, 5.4314 Å; angles 120.69, 119.49, 89.84 degrees
Atoms (fractional coordinates):
Ce  0.3785  0.1285  0.2500
Ce  0.6215  0.8715  0.7500
Ir  0.0000  0.5000  0.5000
Ir  0.5000  0.5000  0.0000
Pt  0.0000  0.0000  0.5000
Pt  0.0000  0.5000  0.0000

Values from the calculation:
formation energy = -2.7 eV per formula unit



Entry from Alexandria via LeMat-Bulk: crystalline Ce8Ir2Pt at its relaxed geometry (PBE-GGA).

Cell lengths 7.5536, 7.5536, 5.6047 Å; angles 99.48, 99.48, 115.59 degrees
Atoms (fractional coordinates):
Ce  0.0787  0.2933  0.5770
Ce  0.2326  0.7674  0.0000
Ce  0.2933  0.0787  0.5770
Ce  0.3774  0.3774  0.1620
Ce  0.6226  0.6226  0.8380
Ce  0.7067  0.9213  0.4230
Ce  0.7674  0.2326  0.0000
Ce  0.9213  0.7067  0.4230
Ir  0.3136  0.6864  0.5000
Ir  0.6864  0.3136  0.5000
Pt  0.0000  0.0000  0.0000

Values from the calculation:
formation energy = -4.7 eV per formula unit



| no. | offset from the most stable computed form (eV/atom) | N(E_F) (states/eV/atom) |
| --- | --- | --- |
| 1 | 0.092 | 2.82 |
| 2 | 0.000 | 2.19 |
| 3 | 0.000 | 1.30 |
| 4 | 0.043 | 2.67 |